(1)
Density functional theory data (GGA-PBEsol) for crystalline NaGe3Bi at its relaxed geometry.

CIF file:
```
data_NaGe3Bi
_chemical_formula_sum 'Na1 Ge3 Bi1'
_cell_length_a 5.001
_cell_length_b 5.001
_cell_length_c 5.001
_cell_angle_alpha 90.00
_cell_angle_beta 90.00
_cell_angle_gamma 90.00
_symmetry_space_group_name_H-M 'P 1'
_symmetry_Int_Tables_number 1
_symmetry_space_group_name_Hall 'P 1'
loop_
_atom_site_label
_atom_site_type_symbol
_atom_site_fract_x
_atom_site_fract_y
_atom_site_fract_z
Ge1 Ge 0.500 0.000 0.000
Ge2 Ge 0.000 0.000 0.500
Ge3 Ge 0.000 0.500 0.000
Na1 Na 0.000 0.000 0.000
Bi1 Bi 0.500 0.500 0.500
```

Properties
DFT total energy: -3.22 eV/atom

(2)
Density functional theory data (GGA-PBEsol) for crystalline ZrMnNi2 at its relaxed geometry.

CIF file:
```
data_ZrMnNi2
_chemical_formula_sum 'Zr1 Mn1 Ni2'
_cell_length_a 3.805
_cell_length_b 3.805
_cell_length_c 4.551
_cell_angle_alpha 114.72
_cell_angle_beta 114.72
_cell_angle_gamma 90.00
_symmetry_space_group_name_H-M 'P 1'
_symmetry_Int_Tables_number 1
_symmetry_space_group_name_Hall 'P 1'
loop_
_atom_site_label
_atom_site_type_symbol
_atom_site_fract_x
_atom_site_fract_y
_atom_site_fract_z
Ni1 Ni 0.250 0.750 0.500
Ni2 Ni 0.750 0.250 0.500
Mn1 Mn 0.000 0.000 0.000
Zr1 Zr 0.500 0.500 0.000
```

Properties
DFT total energy: -7.98 eV/atom

(3)
Density functional theory data (GGA-PBEsol) for crystalline CsMg2Sb2 at its relaxed geometry.

CIF file:
```
data_CsMg2Sb2
_chemical_formula_sum 'Cs1 Mg2 Sb2'
_cell_length_a 4.894
_cell_length_b 4.894
_cell_length_c 7.433
_cell_angle_alpha 109.22
_cell_angle_beta 109.22
_cell_angle_gamma 90.00
_symmetry_space_group_name_H-M 'P 1'
_symmetry_Int_Tables_number 1
_symmetry_space_group_name_Hall 'P 1'
loop_
_atom_site_label
_atom_site_type_symbol
_atom_site_fract_x
_atom_site_fract_y
_atom_site_fract_z
Mg1 Mg 0.750 0.250 0.500
Mg2 Mg 0.250 0.750 0.500
Sb1 Sb 0.370 0.370 0.740
Sb2 Sb 0.630 0.630 0.260
Cs1 Cs 0.000 0.000 0.000
```

Properties
formation energy (no corrections): -43.7 kJ/mol of atoms

(4)
Density functional theory data (GGA-PBEsol) for crystalline BaRu3 at its relaxed geometry.

CIF file:
```
data_BaRu3
_chemical_formula_sum 'Ba1 Ru3'
_cell_length_a 2.887
_cell_length_b 2.887
_cell_length_c 9.945
_cell_angle_alpha 81.65
_cell_angle_beta 81.65
_cell_angle_gamma 60.00
_symmetry_space_group_name_H-M 'P 1'
_symmetry_Int_Tables_number 1
_symmetry_space_group_name_Hall 'P 1'
loop_
_atom_site_label
_atom_site_type_symbol
_atom_site_fract_x
_atom_site_fract_y
_atom_site_fract_z
Ru1 Ru 0.235 0.235 0.295
Ru2 Ru 0.500 0.500 0.500
Ru3 Ru 0.765 0.765 0.705
Ba1 Ba 0.000 0.000 0.000
```

Properties
DFT total energy: -7.12 eV/atom

(5)
Density functional theory data (GGA-PBEsol) for crystalline Ba9In4H at its relaxed geometry.

CIF file:
```
data_Ba9In4H
_chemical_formula_sum 'Ba9 In4 H1'
_cell_length_a 5.847
_cell_length_b 10.148
_cell_length_c 10.148
_cell_angle_alpha 85.24
_cell_angle_beta 73.26
_cell_angle_gamma 73.26
_symmetry_space_group_name_H-M 'P 1'
_symmetry_Int_Tables_number 1
_symmetry_space_group_name_Hall 'P 1'
loop_
_atom_site_label
_atom_site_type_symbol
_atom_site_fract_x
_atom_site_fract_y
_atom_site_fract_z
H1 H 0.000 0.000 0.000
Ba1 Ba 0.500 0.000 0.000
Ba2 Ba 0.615 0.258 0.512
Ba3 Ba 0.127 0.488 0.258
Ba4 Ba 0.817 0.290 0.076
Ba5 Ba 0.893 0.924 0.290
Ba6 Ba 0.107 0.076 0.710
Ba7 Ba 0.183 0.710 0.924
Ba8 Ba 0.385 0.742 0.488
Ba9 Ba 0.873 0.512 0.742
In1 In 0.600 0.662 0.137
In2 In 0.263 0.137 0.338
In3 In 0.737 0.863 0.662
In4 In 0.400 0.338 0.863
```

Properties
DFT total energy: -2.81 eV/atom

(6)
Density functional theory data (GGA-PBEsol) for crystalline YIn2Cl at its relaxed geometry.

CIF file:
```
data_YIn2Cl
_chemical_formula_sum 'Y1 In2 Cl1'
_cell_length_a 4.000
_cell_length_b 4.000
_cell_length_c 5.952
_cell_angle_alpha 90.00
_cell_angle_beta 90.00
_cell_angle_gamma 90.00
_symmetry_space_group_name_H-M 'P 1'
_symmetry_Int_Tables_number 1
_symmetry_space_group_name_Hall 'P 1'
loop_
_atom_site_label
_atom_site_type_symbol
_atom_site_fract_x
_atom_site_fract_y
_atom_site_fract_z
In1 In 0.000 0.500 0.000
In2 In 0.500 0.000 0.000
Cl1 Cl 0.000 0.000 0.500
Y1 Y 0.500 0.500 0.500
```

Properties
excess energy over the best structure of this formula in the dataset: 141.0 meV/atom
formation energy (no corrections): -60.0 kJ/mol of atoms

(7)
Density functional theory data (GGA-PBEsol) for crystalline Sb3Au2 at its relaxed geometry.

CIF file:
```
data_Sb3Au2
_chemical_formula_sum 'Sb3 Au2'
_cell_length_a 4.075
_cell_length_b 4.075
_cell_length_c 8.509
_cell_angle_alpha 76.15
_cell_angle_beta 76.15
_cell_angle_gamma 60.00
_symmetry_space_group_name_H-M 'P 1'
_symmetry_Int_Tables_number 1
_symmetry_space_group_name_Hall 'P 1'
loop_
_atom_site_label
_atom_site_type_symbol
_atom_site_fract_x
_atom_site_fract_y
_atom_site_fract_z
Sb1 Sb 0.207 0.207 0.378
Sb2 Sb 0.000 0.000 0.000
Sb3 Sb 0.793 0.793 0.622
Au1 Au 0.398 0.398 0.805
Au2 Au 0.602 0.602 0.195
```

Properties
formation energy (no corrections): -5.5 kJ/mol of atoms

(8)
Density functional theory data (GGA-PBEsol) for crystalline Mg2ScCd at its relaxed geometry.

CIF file:
```
data_Mg2ScCd
_chemical_formula_sum 'Mg2 Sc1 Cd1'
_cell_length_a 3.186
_cell_length_b 3.186
_cell_length_c 8.523
_cell_angle_alpha 90.00
_cell_angle_beta 90.00
_cell_angle_gamma 90.00
_symmetry_space_group_name_H-M 'P 1'
_symmetry_Int_Tables_number 1
_symmetry_space_group_name_Hall 'P 1'
loop_
_atom_site_label
_atom_site_type_symbol
_atom_site_fract_x
_atom_site_fract_y
_atom_site_fract_z
Mg1 Mg 0.000 0.000 0.735
Mg2 Mg 0.000 0.000 0.265
Sc1 Sc 0.500 0.500 0.000
Cd1 Cd 0.500 0.500 0.500
```

Properties
DFT total energy: -2.90 eV/atom

(9)
Density functional theory data (GGA-PBEsol) for crystalline CrIr2 at its relaxed geometry.

CIF file:
```
data_CrIr2
_chemical_formula_sum 'Cr4 Ir8'
_cell_length_a 4.222
_cell_length_b 4.640
_cell_length_c 8.036
_cell_angle_alpha 90.00
_cell_angle_beta 90.00
_cell_angle_gamma 90.00
_symmetry_space_group_name_H-M 'P 1'
_symmetry_Int_Tables_number 1
_symmetry_space_group_name_Hall 'P 1'
loop_
_atom_site_label
_atom_site_type_symbol
_atom_site_fract_x
_atom_site_fract_y
_atom_site_fract_z
Ir1 Ir 0.750 0.344 0.671
Ir2 Ir 0.750 0.331 0.005
Ir3 Ir 0.250 0.656 0.329
Ir4 Ir 0.750 0.844 0.829
Ir5 Ir 0.250 0.169 0.505
Ir6 Ir 0.750 0.831 0.495
Ir7 Ir 0.250 0.156 0.171
Ir8 Ir 0.250 0.669 0.995
Cr1 Cr 0.250 0.170 0.837
Cr2 Cr 0.250 0.670 0.663
Cr3 Cr 0.750 0.330 0.337
Cr4 Cr 0.750 0.830 0.163
```

Properties
DFT total energy: -10.20 eV/atom

(10)
Density functional theory data (GGA-PBEsol) for crystalline CuTc2Os at its relaxed geometry.

CIF file:
```
data_CuTc2Os
_chemical_formula_sum 'Cu1 Tc2 Os1'
_cell_length_a 3.686
_cell_length_b 3.694
_cell_length_c 4.742
_cell_angle_alpha 113.57
_cell_angle_beta 112.87
_cell_angle_gamma 90.00
_symmetry_space_group_name_H-M 'P 1'
_symmetry_Int_Tables_number 1
_symmetry_space_group_name_Hall 'P 1'
loop_
_atom_site_label
_atom_site_type_symbol
_atom_site_fract_x
_atom_site_fract_y
_atom_site_fract_z
Tc1 Tc 0.750 0.733 0.501
Tc2 Tc 0.250 0.267 0.499
Os1 Os 0.000 0.500 0.000
Cu1 Cu 0.500 0.000 0.000
```

Properties
DFT total energy: -9.51 eV/atom

(11)
Density functional theory data (GGA-PBEsol) for crystalline Cs2RbFeI at its relaxed geometry.

CIF file:
```
data_Cs2RbFeI
_chemical_formula_sum 'Cs2 Rb1 Fe1 I1'
_cell_length_a 4.989
_cell_length_b 7.473
_cell_length_c 7.473
_cell_angle_alpha 90.00
_cell_angle_beta 90.00
_cell_angle_gamma 90.00
_symmetry_space_group_name_H-M 'P 1'
_symmetry_Int_Tables_number 1
_symmetry_space_group_name_Hall 'P 1'
loop_
_atom_site_label
_atom_site_type_symbol
_atom_site_fract_x
_atom_site_fract_y
_atom_site_fract_z
Cs1 Cs 0.000 0.000 0.500
Cs2 Cs 0.000 0.500 0.000
I1 I 0.000 0.000 0.000
Fe1 Fe 0.500 0.000 0.000
Rb1 Rb 0.500 0.500 0.500
```

Properties
formation energy (no corrections): 28.9 kJ/mol of atoms

(12)
Density functional theory data (GGA-PBEsol) for crystalline GeOsN3 at its relaxed geometry.

CIF file:
```
data_GeOsN3
_chemical_formula_sum 'Ge1 Os1 N3'
_cell_length_a 3.699
_cell_length_b 3.699
_cell_length_c 3.699
_cell_angle_alpha 90.00
_cell_angle_beta 90.00
_cell_angle_gamma 90.00
_symmetry_space_group_name_H-M 'P 1'
_symmetry_Int_Tables_number 1
_symmetry_space_group_name_Hall 'P 1'
loop_
_atom_site_label
_atom_site_type_symbol
_atom_site_fract_x
_atom_site_fract_y
_atom_site_fract_z
N1 N 0.500 0.000 0.000
N2 N 0.000 0.000 0.500
N3 N 0.000 0.500 0.000
Ge1 Ge 0.000 0.000 0.000
Os1 Os 0.500 0.500 0.500
```

Properties
formation energy (no corrections): 170.5 kJ/mol of atoms